! GGA+U Na2PaWO6, optimized geometry; values from VASP
&SYSTEM
  ibrav = 0, nat = 10, ntyp = 4
/
ATOMIC_SPECIES
Na 22.99 Na.upf
Pa 231.04 Pa.upf
W 183.84 W.upf
O 16.00 O.upf
ATOMIC_POSITIONS crystal
Na 0.000 0.500 0.000
Na 0.500 0.000 0.000
Pa 0.000 0.000 0.624
W 0.500 0.500 0.572
O 0.000 0.000 0.128
O 0.262 0.262 0.661
O 0.262 0.738 0.661
O 0.500 0.500 0.148
O 0.738 0.262 0.661
O 0.738 0.738 0.661
CELL_PARAMETERS angstrom
5.869 0.000 0.000
0.000 5.869 0.000
0.000 0.000 4.302
! total magnetic moment: 0.100 μB/atom
! crystal system: tetragonal
! calculated volume: 14.82 Å³/atom
! space-group type: No. 99
! total DFT energy (no corrections): -7.413 eV per atom